Entry 1:
First-principles (PBE) data for crystalline VHgAs2Se at its relaxed geometry, as listed in Alexandria.

Geometry as POSCAR:
```
VHgAs2Se
1.0
4.8466 0.0000 0.0000
0.0000 4.8466 0.0000
0.0000 0.0000 4.7734
V Hg As Se
1 1 2 1
Cartesian
0.0000 0.0000 0.0000
2.4233 2.4233 2.3867
0.0000 2.4233 0.0000
2.4233 0.0000 0.0000
0.0000 0.0000 2.3867
```

## Properties
* total energy: -21.55 eV for the cell shown
* energy above the lowest structure with this stoichiometry: 0.0000 eV per atom
* SG: No. 123
* raw formation energy: 131.1 meV/atom
* DOS(E_F): 2.5 states/eV/cell

Entry 2:
First-principles (PBE) data for crystalline AcReTc at its relaxed geometry, as listed in Alexandria.

Geometry as POSCAR:
```
AcReTc
1.0
7.2828 0.0000 0.0000
0.0000 7.2828 0.0000
0.0000 0.0000 6.1726
Ac Re Tc
4 4 4
Cartesian
1.7853 1.7853 0.0000
1.8561 5.4267 1.5431
5.4267 1.8561 4.6294
5.4975 5.4975 3.0863
0.9719 6.3109 4.6294
2.6695 2.6695 3.0863
4.6133 4.6133 0.0000
6.3109 0.9719 1.5431
0.9169 0.9169 3.0863
2.7245 4.5583 4.6294
4.5583 2.7245 1.5431
6.3659 6.3659 0.0000
```

## Properties
* total energy: -99.48 eV for the cell shown
* SG: No. 92
* DOS(E_F): 16.1 states/eV/cell

Entry 3:
First-principles (PBE) data for crystalline AgHg2Br at its relaxed geometry, as listed in Alexandria.

Geometry as POSCAR:
```
AgHg2Br
1.0
-4.7717 4.7717 2.6829
4.7717 -4.7717 2.6829
4.7717 4.7717 -2.6829
Ag Hg Br
2 4 2
Cartesian
0.0000 0.0000 0.0000
0.0000 4.7717 1.3414
7.1575 1.6634 -0.6707
1.6634 2.3858 0.6707
-2.3858 3.1083 2.0121
3.1083 2.3858 3.3536
4.7717 0.0000 1.3414
0.0000 0.0000 2.6829
```

## Properties
* total energy: -11.18 eV for the cell shown
* energy above the lowest structure with this stoichiometry: 0.0285 eV per atom
* SG: No. 122
* raw formation energy: -115.6 meV/atom
* DOS(E_F): 0.0 states/eV/cell